## a
Computed, not measured: an optimized crystal structure of CsBa3Be at the PBE level of DFT.

Cell and atoms, written as POSCAR:
```
CsBa3Be
1.0
6.478 0.000 0.000
0.000 6.478 0.000
0.000 0.000 6.478
Cs Be Ba
1 1 3
Cartesian
0.000 0.000 0.000
3.239 3.239 3.239
0.000 3.239 0.000
0.000 0.000 3.239
3.239 0.000 0.000
```

Summary:
Total moment in μB/f.u.: 0.0

---

## b
Computed, not measured: an optimized crystal structure of CsBa3Be at the PBE level of DFT.

Cell and atoms, written as POSCAR:
```
CsBa3Be
1.0
6.679 0.000 0.000
0.000 6.679 0.000
0.000 0.000 6.679
Cs Be Ba
1 1 3
Cartesian
3.340 3.340 3.340
0.000 0.000 0.000
0.000 3.340 0.000
0.000 0.000 3.340
3.340 0.000 0.000
```

Summary:
Total moment in μB/f.u.: 0.0

---

Tell me which of them is the least stable. Sure, it is a.